# 1
Here is a relaxed Mo2IrPt crystal from the Alexandria database. Energies are from PBE.

Properties
Electronic total energy ... -37.95 eV per cell
Fermi-level density of states ... 1.8 states/eV per cell
ΔE to the lowest computed polymorph ... 0 meV per atom
SG ... Pmm2, No. 25
DFT formation energy ... -0.346 eV per atom

Cell and atoms, written as POSCAR:
```
Mo2IrPt
1.0
-4.317 0.588 1.028
-0.601 -2.453 -1.122
0.739 -2.168 4.343
Pt Mo Ir
1 2 1
direct
0.000 0.625 0.456 Pt
0.500 0.125 0.291 Mo
0.000 0.125 0.957 Mo
0.500 0.625 0.796 Ir
```

# 2
Here is a relaxed MoIr2Pt crystal from the Alexandria database. Energies are from PBE.

Properties
Electronic total energy ... -34.24 eV per cell
Fermi-level density of states ... 4.5 states/eV per cell
ΔE to the lowest computed polymorph ... 312 meV per atom
SG ... P4mm, No. 99
DFT formation energy ... 0.088 eV per atom

Cell and atoms, written as POSCAR:
```
MoIr2Pt
1.0
-1.932 2.377 -1.420
-2.462 -0.684 2.206
2.039 3.703 3.424
Mo Ir Pt
1 2 1
direct
0.000 0.000 0.486 Mo
0.500 0.500 0.247 Ir
0.000 0.000 0.014 Ir
0.500 0.500 0.754 Pt
```

# 3
Here is a relaxed MoIr2Pt crystal from the Alexandria database. Energies are from PBE.

Properties
Electronic total energy ... -35.11 eV per cell
Fermi-level density of states ... 4.7 states/eV per cell
ΔE to the lowest computed polymorph ... 95 meV per atom
SG ... R-3m, No. 166
DFT formation energy ... -0.129 eV per atom

Cell and atoms, written as POSCAR:
```
MoIr2Pt
1.0
9.257 0.000 0.000
8.843 2.736 0.000
8.843 1.337 2.388
Ir Pt Mo
2 1 1
direct
0.996 0.996 0.996 Ir
0.504 0.504 0.504 Ir
0.750 0.750 0.750 Pt
0.250 0.250 0.250 Mo
```

# 4
Here is a relaxed MoIr2Pt crystal from the Alexandria database. Energies are from PBE.

Properties
Electronic total energy ... -35.31 eV per cell
Fermi-level density of states ... 4.4 states/eV per cell
ΔE to the lowest computed polymorph ... 46 meV per atom
SG ... P4/mmm, No. 123
DFT formation energy ... -0.178 eV per atom

Cell and atoms, written as POSCAR:
```
MoIr2Pt
1.0
3.944 0.000 0.000
0.000 3.944 0.000
0.000 0.000 3.855
Pt Ir Mo
1 2 1
direct
0.000 0.500 0.500 Pt
0.000 0.000 0.000 Ir
0.500 0.500 0.000 Ir
0.500 0.000 0.500 Mo
```

# 5
Here is a relaxed MoIr2Pt crystal from the Alexandria database. Energies are from PBE.

Properties
Electronic total energy ... -35.27 eV per cell
Fermi-level density of states ... 3.7 states/eV per cell
ΔE to the lowest computed polymorph ... 55 meV per atom
SG ... C2/m, No. 12
DFT formation energy ... -0.169 eV per atom

Cell and atoms, written as POSCAR:
```
MoIr2Pt
1.0
4.822 0.000 -0.004
4.037 2.638 -0.004
0.775 0.231 4.724
Ir Pt Mo
2 1 1
direct
0.005 0.005 0.994 Ir
0.495 0.495 0.506 Ir
0.250 0.250 0.250 Pt
0.750 0.750 0.750 Mo
```

# 6
Here is a relaxed Mo2IrPt crystal from the Alexandria database. Energies are from PBE.

Properties
Electronic total energy ... -36.94 eV per cell
Fermi-level density of states ... 4.3 states/eV per cell
ΔE to the lowest computed polymorph ... 251 meV per atom
SG ... P2/m, No. 10
DFT formation energy ... -0.095 eV per atom

Cell and atoms, written as POSCAR:
```
Mo2IrPt
1.0
-1.855 0.156 2.084
3.371 -1.373 3.102
3.416 3.467 2.780
Mo Pt Ir
2 1 1
direct
0.000 0.000 0.000 Mo
0.500 0.500 0.000 Mo
0.500 0.500 0.500 Pt
0.000 0.000 0.500 Ir
```

# 7
Here is a relaxed Mo2IrPt crystal from the Alexandria database. Energies are from PBE.

Properties
Electronic total energy ... -36.65 eV per cell
Fermi-level density of states ... 4.1 states/eV per cell
ΔE to the lowest computed polymorph ... 324 meV per atom
SG ... P4mm, No. 99
DFT formation energy ... -0.022 eV per atom

Cell and atoms, written as POSCAR:
```
Mo2IrPt
1.0
-2.907 -1.575 -0.260
1.204 -1.809 -2.505
1.800 -3.934 3.706
Ir Pt Mo
1 1 2
direct
0.500 0.500 0.761 Ir
0.000 0.000 0.498 Pt
0.500 0.500 0.256 Mo
0.000 0.000 0.984 Mo
```

# 8
Here is a relaxed Mo2IrPt crystal from the Alexandria database. Energies are from PBE.

Properties
Electronic total energy ... -37.78 eV per cell
Fermi-level density of states ... 2.6 states/eV per cell
ΔE to the lowest computed polymorph ... 41 meV per atom
SG ... P4/mmm, No. 123
DFT formation energy ... -0.305 eV per atom

Cell and atoms, written as POSCAR:
```
Mo2IrPt
1.0
-2.442 1.206 -0.372
-0.567 -0.325 2.670
3.307 7.183 1.576
Ir Mo Pt
1 2 1
direct
0.500 0.500 0.750 Ir
0.000 0.000 0.507 Mo
0.000 0.000 0.993 Mo
0.500 0.500 0.250 Pt
```

# 9
Here is a relaxed MoIr2Pt crystal from the Alexandria database. Energies are from PBE.

Properties
Electronic total energy ... -34.87 eV per cell
Fermi-level density of states ... 5.6 states/eV per cell
ΔE to the lowest computed polymorph ... 154 meV per atom
SG ... R3m, No. 160
DFT formation energy ... -0.070 eV per atom

Cell and atoms, written as POSCAR:
```
MoIr2Pt
1.0
9.257 0.001 0.000
8.845 2.731 0.000
8.845 1.335 2.383
Ir Mo Pt
2 1 1
direct
0.249 0.249 0.249 Ir
0.998 0.998 0.998 Ir
0.502 0.502 0.502 Mo
0.751 0.751 0.751 Pt
```

# 10
Here is a relaxed Mo2IrPt crystal from the Alexandria database. Energies are from PBE.

Properties
Electronic total energy ... -36.78 eV per cell
Fermi-level density of states ... 3.8 states/eV per cell
ΔE to the lowest computed polymorph ... 291 meV per atom
SG ... R3m, No. 160
DFT formation energy ... -0.054 eV per atom

Cell and atoms, written as POSCAR:
```
Mo2IrPt
1.0
9.428 -0.003 -0.002
9.019 2.747 -0.002
9.019 1.341 2.397
Mo Pt Ir
2 1 1
direct
0.004 0.004 0.004 Mo
0.248 0.248 0.248 Mo
0.501 0.501 0.501 Pt
0.747 0.747 0.747 Ir
```

# 11
Here is a relaxed MoIr2Pt crystal from the Alexandria database. Energies are from PBE.

Properties
Electronic total energy ... -66.32 eV per cell
Fermi-level density of states ... 1.9 states/eV per cell
ΔE to the lowest computed polymorph ... 583 meV per atom
SG ... I-42d, No. 122
DFT formation energy ... 0.359 eV per atom

Cell and atoms, written as POSCAR:
```
MoIr2Pt
1.0
7.066 0.000 0.000
0.000 7.066 0.000
3.533 3.533 2.715
Ir Pt Mo
4 2 2
direct
0.157 0.625 0.250 Ir
0.593 0.125 0.250 Ir
0.375 0.407 0.750 Ir
0.875 0.843 0.750 Ir
0.750 0.250 0.500 Pt
0.000 0.000 0.000 Pt
0.250 0.750 0.500 Mo
0.500 0.500 0.000 Mo
```

# 12
Here is a relaxed Mo2IrPt crystal from the Alexandria database. Energies are from PBE.

Properties
Electronic total energy ... -37.31 eV per cell
Fermi-level density of states ... 3.4 states/eV per cell
ΔE to the lowest computed polymorph ... 159 meV per atom
SG ... F222, No. 22
DFT formation energy ... -0.187 eV per atom

Cell and atoms, written as POSCAR:
```
Mo2IrPt
1.0
4.790 0.000 0.000
1.504 4.548 0.000
-3.147 -2.274 2.810
Pt Ir Mo
1 1 2
direct
0.500 0.500 0.000 Pt
0.250 0.750 0.500 Ir
0.750 0.250 0.500 Mo
0.000 0.000 0.000 Mo
```

# 13
Here is a relaxed MoIr2Pt crystal from the Alexandria database. Energies are from PBE.

Properties
Electronic total energy ... -35.11 eV per cell
Fermi-level density of states ... 3.1 states/eV per cell
ΔE to the lowest computed polymorph ... 95 meV per atom
SG ... Cmmm, No. 65
DFT formation energy ... -0.129 eV per atom

Cell and atoms, written as POSCAR:
```
MoIr2Pt
1.0
4.783 0.004 0.000
-1.556 4.523 0.000
0.000 0.000 2.773
Pt Ir Mo
1 2 1
direct
0.000 0.500 0.500 Pt
0.500 0.500 0.000 Ir
0.000 0.000 0.000 Ir
0.500 0.000 0.500 Mo
```

# 14
Here is a relaxed Mo2IrPt crystal from the Alexandria database. Energies are from PBE.

Properties
Electronic total energy ... -37.79 eV per cell
Fermi-level density of states ... 2.5 states/eV per cell
ΔE to the lowest computed polymorph ... 38 meV per atom
SG ... P2/m, No. 10
DFT formation energy ... -0.307 eV per atom

Cell and atoms, written as POSCAR:
```
Mo2IrPt
1.0
-2.547 -2.797 1.373
-0.357 -0.933 -2.561
3.852 -4.425 -1.868
Ir Mo Pt
1 2 1
direct
0.500 0.750 0.750 Ir
0.000 0.011 0.989 Mo
0.000 0.489 0.511 Mo
0.500 0.250 0.250 Pt
```

# 15
Here is a relaxed MoIr2Pt crystal from the Alexandria database. Energies are from PBE.

Properties
Electronic total energy ... -35.11 eV per cell
Fermi-level density of states ... 5.2 states/eV per cell
ΔE to the lowest computed polymorph ... 95 meV per atom
SG ... P4mm, No. 99
DFT formation energy ... -0.129 eV per atom

Cell and atoms, written as POSCAR:
```
MoIr2Pt
1.0
2.741 0.003 0.000
-0.003 2.741 0.000
0.000 0.000 8.004
Ir Pt Mo
2 1 1
direct
0.500 0.500 0.249 Ir
0.000 0.000 0.008 Ir
0.500 0.500 0.747 Pt
0.000 0.000 0.496 Mo
```

# 16
Here is a relaxed Mo2IrPt crystal from the Alexandria database. Energies are from PBE.

Properties
Electronic total energy ... -37.74 eV per cell
Fermi-level density of states ... 2.1 states/eV per cell
ΔE to the lowest computed polymorph ... 52 meV per atom
SG ... Cmmm, No. 65
DFT formation energy ... -0.294 eV per atom

Cell and atoms, written as POSCAR:
```
Mo2IrPt
1.0
-2.541 -2.716 3.158
4.781 -0.149 0.960
-0.265 2.175 1.657
Pt Ir Mo
1 1 2
direct
0.500 0.000 0.500 Pt
0.000 0.500 0.500 Ir
0.000 0.000 0.000 Mo
0.500 0.500 0.000 Mo
```

# 17
Here is a relaxed Mo2IrPt crystal from the Alexandria database. Energies are from PBE.

Properties
Electronic total energy ... -37.20 eV per cell
Fermi-level density of states ... 3.1 states/eV per cell
ΔE to the lowest computed polymorph ... 186 meV per atom
SG ... P4mm, No. 99
DFT formation energy ... -0.160 eV per atom

Cell and atoms, written as POSCAR:
```
Mo2IrPt
1.0
2.760 0.006 0.000
-0.006 2.760 0.000
0.000 0.000 8.137
Mo Ir Pt
2 1 1
direct
0.000 0.000 0.985 Mo
0.500 0.500 0.257 Mo
0.500 0.500 0.760 Ir
0.000 0.000 0.498 Pt
```

# 18
Here is a relaxed Mo5Ir2Pt4 crystal from the Alexandria database. Energies are from PBE.

Properties
Electronic total energy ... -194.15 eV per cell
Fermi-level density of states ... 19.6 states/eV per cell
SG ... Pbam, No. 55
DFT formation energy ... -0.094 eV per atom

Cell and atoms, written as POSCAR:
```
Mo5Ir2Pt4
1.0
3.970 0.000 0.000
0.000 6.114 0.000
0.000 0.000 14.403
Mo Pt Ir
10 8 4
direct
0.000 0.205 0.687 Mo
0.000 0.500 0.000 Mo
0.000 0.404 0.408 Mo
0.000 0.705 0.813 Mo
0.000 0.295 0.187 Mo
0.000 0.096 0.908 Mo
0.000 0.795 0.313 Mo
0.000 0.000 0.500 Mo
0.000 0.596 0.592 Mo
0.000 0.904 0.092 Mo
0.500 0.398 0.879 Pt
0.500 0.102 0.379 Pt
0.500 0.199 0.047 Pt
0.500 0.898 0.621 Pt
0.500 0.301 0.547 Pt
0.500 0.801 0.953 Pt
0.500 0.699 0.453 Pt
0.500 0.602 0.121 Pt
0.500 0.990 0.207 Ir
0.500 0.010 0.793 Ir
0.500 0.510 0.707 Ir
0.500 0.490 0.293 Ir
```

# 19
Here is a relaxed Mo2IrPt crystal from the Alexandria database. Energies are from PBE.

Properties
Electronic total energy ... -36.96 eV per cell
Fermi-level density of states ... 4.1 states/eV per cell
ΔE to the lowest computed polymorph ... 247 meV per atom
SG ... C2/m, No. 12
DFT formation energy ... -0.099 eV per atom

Cell and atoms, written as POSCAR:
```
Mo2IrPt
1.0
-1.389 -4.666 0.353
0.907 -4.392 1.926
-2.715 0.242 3.919
Pt Mo Ir
1 2 1
direct
0.250 0.250 0.250 Pt
0.003 0.003 0.993 Mo
0.497 0.497 0.507 Mo
0.750 0.750 0.750 Ir
```

# 20
Here is a relaxed Mo2IrPt crystal from the Alexandria database. Energies are from PBE.

Properties
Electronic total energy ... -35.50 eV per cell
Fermi-level density of states ... 8.2 states/eV per cell
ΔE to the lowest computed polymorph ... 611 meV per atom
SG ... Fm-3m, No. 225
DFT formation energy ... 0.265 eV per atom

Cell and atoms, written as POSCAR:
```
Mo2IrPt
1.0
0.000 3.161 3.161
3.161 0.000 3.161
3.161 3.161 0.000
Mo Ir Pt
2 1 1
direct
0.750 0.750 0.750 Mo
0.250 0.250 0.250 Mo
0.000 0.000 0.000 Ir
0.500 0.500 0.500 Pt
```